{
  "formula": "K2LiScCl6",
  "functional": "GGA-PBEsol",
  "state": "relaxed",
  "space_group": "Fm-3m, No. 225",
  "total_magnetization_mub_per_atom": 0.000,
  "dos_ef_per_ev_atom": 0.000,
  "mass_density_g_cm3": 2.33,
  "formation_energy_uncorrected_ev_per_atom": -2.018,
  "cell": [[7.014, 0.000, 0.000], [3.507, 6.074, 0.000], [3.507, 2.025, 5.727]],
  "species": ["K", "K", "Li", "Sc", "Cl", "Cl", "Cl", "Cl", "Cl", "Cl"],
  "frac_coords": [[0.750, 0.750, 0.750], [0.250, 0.250, 0.250], [0.500, 0.500, 0.500], [0.000, 0.000, 0.000], [0.752, 0.248, 0.248], [0.752, 0.752, 0.248], [0.248, 0.752, 0.752], [0.752, 0.248, 0.752], [0.248, 0.752, 0.248], [0.248, 0.248, 0.752]]
}